The following is a DFT calculation (PBE) of a geometry-optimized LaPrSmIn structure.

Lattice parameters (Å, degrees): 6.226 6.226 6.226 133.31 133.31 68.16
Atoms (fractional coordinates):
La 0.000 0.000 0.000
Pr 0.250 0.750 0.500
Sm 0.750 0.250 0.500
In 0.500 0.500 0.000

## Properties
SG: I-4m2 (119)
Theoretical density: 7.21 g/cm3
Energy relative to the elements: -0.25 eV per atom
E_tot: -0.1668 hartree per atom
Calculated volume: 31.375 Å³/atom